*A*
## Li6CuPd8 (PBE-GGA)

Data for a relaxed structure of Li6CuPd8.

Properties
* total magnetization: 0.000 μB per atom
* Fermi-level density of states: 8.42 states/eV/cell

Structure (extended XYZ):
```
15
Lattice="3.493 2.016 5.247 -3.493 2.016 5.247 0.000 -4.033 5.247" Properties=species:S:1:pos:R:3 pbc="T T T"
Li -2.521 -0.591 7.210
Li -0.749 -2.479 8.531
Li -1.772 1.888 8.531
Li 1.772 -1.888 7.210
Li 0.749 2.479 7.210
Li 2.521 0.591 8.531
Cu 0.000 0.000 7.870
Pd 0.000 0.000 1.327
Pd -0.521 -1.516 5.806
Pd -1.052 1.210 5.806
Pd -1.574 -0.306 9.935
Pd 1.574 0.306 5.806
Pd 1.052 -1.210 9.935
Pd 0.521 1.516 9.935
Pd 0.000 0.000 14.414
```

=====

*B*
## Li6CuPd8 (PBE-GGA)

Data for a relaxed structure of Li6CuPd8.

Properties
* total magnetization: 0.000 μB per atom
* Fermi-level density of states: 5.65 states/eV/cell

Structure (extended XYZ):
```
15
Lattice="3.497 2.019 5.348 -3.497 2.019 5.348 0.000 -4.038 5.348" Properties=species:S:1:pos:R:3 pbc="T T T"
Li -1.004 -1.484 6.171
Li -1.787 0.128 9.872
Li -0.783 1.611 6.171
Li 0.783 -1.611 9.872
Li 1.787 -0.128 6.171
Li 1.004 1.484 9.872
Cu 0.000 0.000 0.000
Pd -2.595 0.548 7.253
Pd -1.772 -1.973 8.790
Pd 0.000 0.000 4.126
Pd 0.822 -2.521 7.253
Pd -0.822 2.521 8.790
Pd 0.000 0.000 11.917
Pd 1.772 1.973 7.253
Pd 2.595 -0.548 8.790
```

=====

Quick one: least stable of them? *B*

=====

*A*
## Li3Cu3Pd2 (PBE-GGA)

Data for a relaxed structure of Li3Cu3Pd2.

Properties
* total magnetization: 0.000 μB per atom
* Fermi-level density of states: 2.81 states/eV/cell

Structure (extended XYZ):
```
8
Lattice="3.261 1.883 2.909 -3.261 1.883 2.909 0.000 -3.765 2.909" Properties=species:S:1:pos:R:3 pbc="T T T"
Li -2.455 0.487 2.909
Li 0.806 -2.369 2.909
Li 1.649 1.883 2.909
Cu -0.770 -1.333 4.364
Cu -0.770 1.333 4.364
Cu 1.539 0.000 4.364
Pd 0.000 0.000 2.184
Pd 0.000 0.000 6.544
```

=====

*B*
## Li3Cu3Pd2 (PBE-GGA)

Data for a relaxed structure of Li3Cu3Pd2.

Properties
* total magnetization: 0.000 μB per atom
* Fermi-level density of states: 4.84 states/eV/cell

Structure (extended XYZ):
```
16
Lattice="4.299 0.000 0.000 0.000 4.312 0.000 0.000 0.000 11.412" Properties=species:S:1:pos:R:3 pbc="T T T"
Li 0.000 0.000 0.000
Li 0.000 2.156 4.176
Li 0.000 2.156 7.236
Li 2.150 0.000 1.530
Li 2.150 0.000 9.882
Li 2.150 2.156 5.706
Cu 0.000 0.000 5.706
Cu 0.000 2.156 1.301
Cu 0.000 2.156 10.111
Cu 2.150 0.000 4.405
Cu 2.150 0.000 7.007
Cu 2.150 2.156 0.000
Pd 0.000 0.000 2.912
Pd 0.000 0.000 8.501
Pd 2.150 2.156 2.795
Pd 2.150 2.156 8.618
```

=====

Quick one: least stable of them? *A*

=====

*A*
## LiPrCuPd (PBE-GGA)

Data for a relaxed structure of LiPrCuPd.

Properties
* total magnetization: 0.000 μB per atom
* Fermi-level density of states: 4.88 states/eV/cell

Structure (extended XYZ):
```
12
Lattice="4.343 0.000 0.000 -2.172 3.762 0.000 0.000 0.000 14.672" Properties=species:S:1:pos:R:3 pbc="T T T"
Li 0.000 0.000 0.000
Li 0.000 2.508 9.782
Li 2.172 1.254 4.891
Pr 0.000 0.000 7.359
Pr 0.000 2.508 2.468
Pr 2.172 1.254 12.249
Cu 0.000 0.000 10.359
Cu 0.000 2.508 5.468
Cu 2.172 1.254 0.577
Pd 0.000 0.000 4.300
Pd 0.000 2.508 14.081
Pd 2.172 1.254 9.191
```

=====

*B*
## LiPrCuPd (PBE-GGA)

Data for a relaxed structure of LiPrCuPd.

Properties
* total magnetization: 0.000 μB per atom
* Fermi-level density of states: 11.65 states/eV/cell

Structure (extended XYZ):
```
16
Lattice="6.878 0.000 0.000 0.000 6.878 0.000 0.000 0.000 6.878" Properties=species:S:1:pos:R:3 pbc="T T T"
Li 0.000 0.000 0.000
Li 0.000 3.439 3.439
Li 3.439 0.000 3.439
Li 3.439 3.439 0.000
Pr 0.000 0.000 3.439
Pr 0.000 3.439 0.000
Pr 3.439 0.000 0.000
Pr 3.439 3.439 3.439
Cu 1.720 1.720 5.159
Cu 1.720 5.159 1.720
Cu 5.159 1.720 1.720
Cu 5.159 5.159 5.159
Pd 1.720 1.720 1.720
Pd 1.720 5.159 5.159
Pd 5.159 1.720 5.159
Pd 5.159 5.159 1.720
```

=====

Quick one: least stable of them? *B*

=====

*A*
## LiPmCu2 (PBE-GGA)

Data for a relaxed structure of LiPmCu2.

Properties
* total magnetization: 0.000 μB per atom
* Fermi-level density of states: 2.39 states/eV/cell

Structure (extended XYZ):
```
4
Lattice="4.780 0.000 0.000 0.000 4.780 0.000 0.000 0.000 3.344" Properties=species:S:1:pos:R:3 pbc="T T T"
Li 0.000 0.000 0.000
Pm 2.390 2.390 0.000
Cu 0.000 2.390 1.672
Cu 2.390 0.000 1.672
```

=====

*B*
## LiPmCu2 (PBE-GGA)

Data for a relaxed structure of LiPmCu2.

Properties
* total magnetization: 0.000 μB per atom
* Fermi-level density of states: 1.86 states/eV/cell

Structure (extended XYZ):
```
4
Lattice="3.368 0.000 0.000 0.000 3.368 0.000 0.000 0.000 6.390" Properties=species:S:1:pos:R:3 pbc="T T T"
Li 0.000 0.000 0.000
Pm 0.000 0.000 3.195
Cu 1.684 1.684 1.257
Cu 1.684 1.684 5.133
```

=====

*C*
## LiPmCu2 (PBE-GGA)

Data for a relaxed structure of LiPmCu2.

Properties
* total magnetization: 0.000 μB per atom
* Fermi-level density of states: 9.43 states/eV/cell

Structure (extended XYZ):
```
16
Lattice="7.121 0.000 0.000 0.000 4.303 0.000 0.000 0.000 9.767" Properties=species:S:1:pos:R:3 pbc="T T T"
Li 0.278 1.076 0.885
Li 3.282 3.227 5.769
Li 3.839 1.076 3.999
Li 6.842 3.227 8.883
Pm 1.363 3.227 3.159
Pm 2.197 1.076 8.043
Pm 4.924 3.227 1.724
Pm 5.758 1.076 6.608
Cu 0.707 3.227 6.259
Cu 1.434 1.076 5.212
Cu 2.127 3.227 0.329
Cu 2.854 1.076 1.376
Cu 4.267 3.227 8.392
Cu 4.994 1.076 9.439
Cu 5.687 3.227 4.555
Cu 6.414 1.076 3.508
```

=====

*D*
## LiPmCu2 (PBE-GGA)

Data for a relaxed structure of LiPmCu2.

Properties
* total magnetization: 0.000 μB per atom
* Fermi-level density of states: 11.59 states/eV/cell

Structure (extended XYZ):
```
16
Lattice="6.722 0.000 0.000 0.000 6.722 0.000 0.000 0.000 6.722" Properties=species:S:1:pos:R:3 pbc="T T T"
Li 0.000 0.000 0.000
Li 0.000 3.361 3.361
Li 3.361 0.000 3.361
Li 3.361 3.361 0.000
Pm 0.000 0.000 3.361
Pm 0.000 3.361 0.000
Pm 3.361 0.000 0.000
Pm 3.361 3.361 3.361
Cu 1.681 1.681 1.681
Cu 1.681 1.681 5.042
Cu 1.681 5.042 1.681
Cu 1.681 5.042 5.042
Cu 5.042 1.681 1.681
Cu 5.042 1.681 5.042
Cu 5.042 5.042 1.681
Cu 5.042 5.042 5.042
```

=====

Quick one: least stable of them? *A*

=====

*A*
## Li2Pm3Cu4 (PBE-GGA)

Data for a relaxed structure of Li2Pm3Cu4.

Properties
* total magnetization: 0.000 μB per atom
* Fermi-level density of states: 6.56 states/eV/cell

Structure (extended XYZ):
```
9
Lattice="5.028 -2.119 0.000 5.028 2.119 0.000 -1.113 0.000 8.660" Properties=species:S:1:pos:R:3 pbc="T T T"
Li 1.486 0.000 2.453
Li 7.456 0.000 6.207
Pm 0.290 0.000 7.595
Pm 4.471 0.000 4.330
Pm 8.653 0.000 1.065
Cu 1.623 0.000 4.984
Cu 3.240 0.000 7.523
Cu 5.702 0.000 1.138
Cu 7.320 0.000 3.676
```

=====

*B*
## Li2Pm3Cu4 (PBE-GGA)

Data for a relaxed structure of Li2Pm3Cu4.

Properties
* total magnetization: 0.000 μB per atom
* Fermi-level density of states: 7.15 states/eV/cell

Structure (extended XYZ):
```
9
Lattice="5.396 -2.172 0.000 5.396 2.172 0.000 -3.379 0.000 7.828" Properties=species:S:1:pos:R:3 pbc="T T T"
Li 0.664 0.000 2.599
Li 6.749 0.000 5.229
Pm -0.816 0.000 5.415
Pm 5.396 0.000 0.000
Pm 8.229 0.000 2.413
Cu 2.256 0.000 0.473
Cu 2.610 0.000 4.632
Cu 4.803 0.000 3.196
Cu 5.157 0.000 7.355
```

=====

Quick one: least stable of them? *B*

=====

*A*
## Li2PmCu2 (PBE-GGA)

Data for a relaxed structure of Li2PmCu2.

Properties
* total magnetization: 0.000 μB per atom
* Fermi-level density of states: 4.87 states/eV/cell

Structure (extended XYZ):
```
10
Lattice="9.882 0.000 0.000 0.000 4.162 0.000 -1.786 0.000 4.737" Properties=species:S:1:pos:R:3 pbc="T T T"
Li 1.403 0.000 0.301
Li 1.751 2.081 4.435
Li 6.344 2.081 0.301
Li 6.692 0.000 4.435
Pm -0.893 2.081 2.368
Pm 4.048 0.000 2.368
Cu 1.155 0.000 2.904
Cu 2.000 2.081 1.833
Cu 6.095 2.081 2.904
Cu 6.940 0.000 1.833
```

=====

*B*
## Li2PmCu2 (PBE-GGA)

Data for a relaxed structure of Li2PmCu2.

Properties
* total magnetization: 0.000 μB per atom
* Fermi-level density of states: 5.51 states/eV/cell

Structure (extended XYZ):
```
10
Lattice="-1.934 1.997 12.347 1.934 -1.997 12.347 1.934 1.997 -12.347" Properties=species:S:1:pos:R:3 pbc="T T T"
Li 1.934 0.998 -4.981
Li 0.000 0.998 4.933
Li 1.934 0.998 7.414
Li 0.000 0.998 17.329
Pm 1.934 0.998 1.880
Pm 0.000 0.998 10.467
Cu 1.934 -0.998 9.161
Cu 1.934 -0.998 11.655
Cu 0.000 2.995 0.692
Cu 0.000 2.995 3.186
```

=====

Quick one: least stable of them? *A*

=====

*A*
## LiPrCu (PBE-GGA)

Data for a relaxed structure of LiPrCu.

Properties
* total magnetization: 0.000 μB per atom
* Fermi-level density of states: 3.65 states/eV/cell

Structure (extended XYZ):
```
3
Lattice="4.514 0.000 0.000 -2.257 3.909 0.000 0.000 0.000 3.701" Properties=species:S:1:pos:R:3 pbc="T T T"
Li 0.000 0.000 0.000
Pr 2.257 1.303 1.851
Cu 0.000 2.606 0.000
```

=====

*B*
## LiPrCu (PBE-GGA)

Data for a relaxed structure of LiPrCu.

Properties
* total magnetization: 0.026 μB per atom
* Fermi-level density of states: 5.59 states/eV/cell

Structure (extended XYZ):
```
6
Lattice="3.576 0.000 0.000 0.000 3.576 0.000 0.000 0.000 9.986" Properties=species:S:1:pos:R:3 pbc="T T T"
Li 0.000 0.000 0.000
Li 1.788 1.788 4.993
Pr 0.000 0.000 7.078
Pr 1.788 1.788 2.085
Cu 0.000 0.000 3.856
Cu 1.788 1.788 8.849
```

=====

*C*
## LiPrCu (PBE-GGA)

Data for a relaxed structure of LiPrCu.

Properties
* total magnetization: 0.000 μB per atom
* Fermi-level density of states: 10.39 states/eV/cell

Structure (extended XYZ):
```
12
Lattice="6.712 0.000 0.000 0.000 6.712 0.000 0.000 0.000 6.712" Properties=species:S:1:pos:R:3 pbc="T T T"
Li 0.000 0.000 0.000
Li 0.000 3.356 3.356
Li 3.356 0.000 3.356
Li 3.356 3.356 0.000
Pr 0.000 0.000 3.356
Pr 0.000 3.356 0.000
Pr 3.356 0.000 0.000
Pr 3.356 3.356 3.356
Cu 1.678 1.678 5.034
Cu 1.678 5.034 1.678
Cu 5.034 1.678 1.678
Cu 5.034 5.034 5.034
```

=====

*D*
## LiPrCu (PBE-GGA)

Data for a relaxed structure of LiPrCu.

Properties
* total magnetization: 0.000 μB per atom
* Fermi-level density of states: 9.24 states/eV/cell

Structure (extended XYZ):
```
12
Lattice="16.151 0.000 0.000 0.000 3.631 0.000 -1.493 0.000 4.687" Properties=species:S:1:pos:R:3 pbc="T T T"
Li 1.313 0.000 0.423
Li 5.270 1.816 4.264
Li 9.389 1.816 0.423
Li 13.345 0.000 4.264
Pr 1.885 1.816 3.186
Pr 4.698 0.000 1.501
Pr 9.961 0.000 3.186
Pr 12.773 1.816 1.501
Cu 15.773 1.816 1.188
Cu -1.114 1.816 3.499
Cu 7.697 0.000 1.188
Cu 6.961 0.000 3.499
```

=====

Quick one: least stable of them? *D*

=====

*A*
## Li2PrCu (PBE-GGA)

Data for a relaxed structure of Li2PrCu.

Properties
* total magnetization: 0.000 μB per atom
* Fermi-level density of states: 2.41 states/eV/cell

Structure (extended XYZ):
```
4
Lattice="3.322 0.000 0.000 0.000 3.322 0.000 0.000 0.000 7.337" Properties=species:S:1:pos:R:3 pbc="T T T"
Li 0.000 0.000 1.273
Li 0.000 0.000 6.064
Pr 1.661 1.661 3.668
Cu 1.661 1.661 0.000
```

=====

*B*
## Li2PrCu (PBE-GGA)

Data for a relaxed structure of Li2PrCu.

Properties
* total magnetization: 0.050 μB per atom
* Fermi-level density of states: 7.08 states/eV/cell

Structure (extended XYZ):
```
12
Lattice="3.131 0.000 0.000 -1.565 2.711 0.000 0.000 0.000 30.786" Properties=species:S:1:pos:R:3 pbc="T T T"
Li 0.000 0.000 3.179
Li 0.000 0.000 27.608
Li 0.000 1.808 17.346
Li 0.000 1.808 23.703
Li 1.565 0.904 7.084
Li 1.565 0.904 13.441
Pr 0.000 0.000 0.000
Pr 0.000 1.808 20.524
Pr 1.565 0.904 10.262
Cu 0.000 0.000 15.393
Cu 0.000 1.808 5.131
Cu 1.565 0.904 25.655
```

=====

Quick one: least stable of them? *B*